# CrSiRh | Alexandria | PBE-GGA | optimized geometry
# E (eV/cell): -23.4
# Density of states at the Fermi level (states/eV per cell): 2.40
data_CrSiRh
_chemical_formula_sum 'Cr1 Si1 Rh1'
_cell_length_a 4.1007
_cell_length_b 4.1007
_cell_length_c 2.6911
_cell_angle_alpha 90.00
_cell_angle_beta 90.00
_cell_angle_gamma 120.00
_symmetry_space_group_name_H-M 'P -6 m 2'
_symmetry_Int_Tables_number 187
_symmetry_space_group_name_Hall 'P -6 2'
loop_
_atom_site_label
_atom_site_type_symbol
_atom_site_fract_x
_atom_site_fract_y
_atom_site_fract_z
Cr1 Cr 0.0000 0.0000 0.0000
Si1 Si 0.6667 0.3333 0.5000
Rh1 Rh 0.3333 0.6667 0.5000